Record 1
An optimized crystal structure of Th2TaTl, computed with GGA-PBE.

abc: 3.300 3.300 11.891
angles: 82.02 82.02 60.00
Fractional coordinates of all 4 atoms:
Th1 0.084 0.084 0.749
Th2 0.916 0.916 0.251
Ta1 0.000 0.000 0.000
Tl1 0.500 0.500 0.500

Properties
Space-group type ... R-3m
Formation enthalpy at 0 K ... 539 meV/atom
Volume ... 27.68 A^3/atom

Record 2
An optimized crystal structure of Ta6VRu5, computed with GGA-PBE.

abc: 4.426 6.477 7.024
angles: 90.00 71.63 90.00
Fractional coordinates of all 12 atoms:
Ta1 0.500 0.756 0.000
Ta2 0.500 0.244 0.000
Ru1 0.000 0.500 0.000
Ru2 0.669 0.000 0.662
Ru3 0.331 0.000 0.338
Ta3 0.164 0.246 0.672
Ta4 0.164 0.754 0.672
Ru4 0.332 0.500 0.335
Ru5 0.668 0.500 0.665
Ta5 0.836 0.754 0.328
Ta6 0.836 0.246 0.328
V1 0.000 0.000 0.000

Properties
Space-group type ... Cmmm
Formation enthalpy at 0 K ... -340 meV/atom
Volume ... 15.93 A^3/atom

Record 3
An optimized crystal structure of Pm2ZnSi3, computed with GGA-PBE.

abc: 5.856 5.856 8.230
angles: 111.38 111.38 88.59
Fractional coordinates of all 12 atoms:
Si1 0.334 0.833 0.166
Si2 0.833 0.833 0.667
Zn1 0.666 0.666 0.332
Pm1 0.250 0.750 0.500
Zn2 0.334 0.334 0.668
Pm2 0.750 0.250 0.500
Si3 0.167 0.666 0.834
Si4 0.833 0.334 0.166
Pm3 0.244 0.244 0.000
Si5 0.666 0.167 0.834
Si6 0.167 0.167 0.333
Pm4 0.756 0.756 0.000

Properties
Space-group type ... Fmmm
Volume ... 20.23 A^3/atom
Formation energy without anion corrections ... -0.6765 eV/atom